Model a:
Compound: MoF5
Source: Alexandria
Functional: PBE with a Hubbard U
Structure: optimized geometry

Values from the calculation:
Total magnetic moment in μB per formula unit: 1.00

Cell and atoms, written as POSCAR:
```
MoF5
1.0
9.756 0.000 0.000
0.000 5.616 0.081
0.000 2.916 7.191
Mo F
4 20
Direct
0.750 0.241 0.507
0.250 0.759 0.993
0.250 0.759 0.493
0.750 0.241 0.007
0.841 0.556 0.459
0.341 0.444 0.041
0.159 0.444 0.541
0.659 0.556 0.959
0.598 0.439 0.380
0.098 0.561 0.120
0.402 0.561 0.620
0.902 0.439 0.880
0.402 0.957 0.867
0.902 0.043 0.633
0.598 0.043 0.133
0.098 0.957 0.367
0.159 0.075 0.944
0.659 0.925 0.556
0.841 0.925 0.056
0.341 0.075 0.444
0.680 0.241 0.757
0.180 0.759 0.743
0.320 0.759 0.243
0.820 0.241 0.257
```

Model b:
Compound: MoF5
Source: Alexandria
Functional: PBE with a Hubbard U
Structure: optimized geometry

Values from the calculation:
Total magnetic moment in μB per formula unit: 1.00

Cell and atoms, written as POSCAR:
```
MoF5
1.0
-5.985 0.090 -0.459
3.367 -1.065 -4.855
-0.204 -6.753 1.340
Mo F
2 10
Direct
0.333 0.667 0.250
0.667 0.333 0.750
0.667 0.333 0.470
0.333 0.667 0.970
0.845 0.155 0.750
0.155 0.311 0.250
0.689 0.845 0.250
0.311 0.155 0.750
0.845 0.689 0.750
0.155 0.845 0.250
0.667 0.333 0.030
0.333 0.667 0.530
```

Model c:
Compound: MoF5
Source: Alexandria
Functional: PBE with a Hubbard U
Structure: optimized geometry

Values from the calculation:
Total magnetic moment in μB per formula unit: 1.00

Cell and atoms, written as POSCAR:
```
MoF5
1.0
-5.856 -4.520 4.844
6.594 -5.221 -2.731
2.846 0.951 4.589
Mo F
4 20
Direct
0.797 0.203 0.000
0.203 0.797 0.000
0.744 0.744 0.750
0.256 0.256 0.250
0.859 0.859 0.474
0.141 0.141 0.526
0.674 0.674 0.070
0.326 0.326 0.930
0.539 0.725 0.640
0.275 0.461 0.360
0.461 0.275 0.360
0.725 0.539 0.640
0.775 0.975 0.875
0.025 0.225 0.125
0.225 0.025 0.125
0.975 0.775 0.875
0.909 0.280 0.704
0.720 0.091 0.296
0.091 0.720 0.296
0.280 0.909 0.704
0.591 0.175 0.882
0.825 0.409 0.118
0.409 0.825 0.118
0.175 0.591 0.882
```

Which structure wins on stability? model c wins.

Model a:
Compound: MoF5
Source: Alexandria
Functional: PBE with a Hubbard U
Structure: optimized geometry

Values from the calculation:
Total magnetic moment in μB per formula unit: 1.00

Cell and atoms, written as POSCAR:
```
MoF5
1.0
-1.737 4.731 -3.061
-1.507 -3.773 4.273
3.651 5.071 5.765
Mo F
2 10
Direct
0.500 0.500 0.000
0.500 0.500 0.500
0.524 0.476 0.750
0.476 0.524 0.250
0.924 0.076 0.084
0.076 0.924 0.916
0.655 0.345 0.413
0.345 0.655 0.587
0.345 0.655 0.913
0.655 0.345 0.087
0.924 0.076 0.416
0.076 0.924 0.584
```

Model b:
Compound: MoF5
Source: Alexandria
Functional: PBE with a Hubbard U
Structure: optimized geometry

Values from the calculation:
Total magnetic moment in μB per formula unit: 1.00

Cell and atoms, written as POSCAR:
```
MoF5
1.0
5.509 0.105 -0.025
1.971 5.145 -0.025
2.814 1.975 7.133
Mo F
2 10
Direct
0.000 0.000 0.500
0.000 0.000 0.000
0.088 0.912 0.750
0.912 0.088 0.250
0.121 0.311 0.872
0.689 0.879 0.628
0.779 0.345 0.532
0.655 0.221 0.968
0.221 0.655 0.468
0.345 0.779 0.032
0.311 0.121 0.372
0.879 0.689 0.128
```

Which structure wins on stability? model b wins.

Model a:
Compound: MoF6
Source: Alexandria
Functional: PBE with a Hubbard U
Structure: optimized geometry

Values from the calculation:
Total magnetic moment in μB per formula unit: 0.17

Cell and atoms, written as POSCAR:
```
MoF6
1.0
-5.225 -2.134 -0.353
2.110 0.689 -5.201
3.294 -3.553 2.916
Mo F
1 6
Direct
0.000 0.000 0.000
0.714 0.714 0.000
0.286 0.286 0.000
0.000 0.286 0.286
0.000 0.714 0.714
0.714 0.000 0.714
0.286 0.000 0.286
```

Model b:
Compound: MoF6
Source: Alexandria
Functional: PBE with a Hubbard U
Structure: optimized geometry

Values from the calculation:
Total magnetic moment in μB per formula unit: 0.07

Cell and atoms, written as POSCAR:
```
MoF6
1.0
5.160 0.000 0.000
0.000 8.997 0.000
0.000 0.000 10.003
Mo F
4 24
Direct
0.068 0.250 0.869
0.568 0.750 0.631
0.932 0.750 0.131
0.432 0.250 0.369
0.210 0.750 0.012
0.405 0.897 0.733
0.095 0.603 0.233
0.290 0.750 0.512
0.653 0.750 0.251
0.905 0.397 0.767
0.153 0.250 0.249
0.405 0.603 0.733
0.847 0.750 0.751
0.267 0.103 0.470
0.595 0.397 0.267
0.733 0.897 0.530
0.347 0.250 0.749
0.095 0.897 0.233
0.267 0.397 0.470
0.233 0.103 0.970
0.710 0.250 0.488
0.790 0.250 0.988
0.905 0.103 0.767
0.233 0.397 0.970
0.767 0.603 0.030
0.767 0.897 0.030
0.733 0.603 0.530
0.595 0.103 0.267
```

Which structure wins on stability? model b wins.

Model a:
Compound: MoF3
Source: Alexandria
Functional: PBE with a Hubbard U
Structure: optimized geometry

Values from the calculation:
Total magnetic moment in μB per formula unit: 3.00

Cell and atoms, written as POSCAR:
```
MoF3
1.0
-2.897 -0.571 2.522
-3.482 -1.156 -1.273
-1.242 -3.602 0.746
Mo F
1 3
Direct
0.500 0.500 0.500
0.250 0.250 0.250
0.750 0.750 0.750
0.000 0.000 0.000
```

Model b:
Compound: MoF3
Source: Alexandria
Functional: PBE with a Hubbard U
Structure: optimized geometry

Values from the calculation:
Total magnetic moment in μB per formula unit: 3.00

Cell and atoms, written as POSCAR:
```
MoF3
1.0
-5.301 -0.593 -2.331
-1.037 -0.841 -5.666
-2.069 -4.942 -2.276
Mo F
2 6
Direct
0.000 0.000 0.000
0.500 0.500 0.500
0.250 0.877 0.623
0.623 0.250 0.877
0.123 0.377 0.750
0.377 0.750 0.123
0.750 0.123 0.377
0.877 0.623 0.250
```

Which structure wins on stability? model b wins.